A geometry-optimized TbGaCo2 structure, computed with PBE-GGA.

It has space group P4/mmm (No. 123), with a = 4.240 Å, b = 4.240 Å, c = 3.360 Å, α = 90.00°, β = 90.00° and γ = 90.00°. The inequivalent atoms are Tb at (0.000, 0.000, 0.000), Ga at (0.500, 0.500, 0.000) and Co at (0.000, 0.500, 0.500).

The magnetization comes out at 0.00 μB per atom. For the density of states at the Fermi level, the calculation gives 0.275 states/eV/atom. For the total energy, the calculation gives -5.62 eV per atom. The formation energy from the elements is -0.1519 eV per atom.

=====

A geometry-optimized TbGa6Co structure, computed with PBE-GGA.

It has space group R-3m (No. 166, hexagonal axes), with a = 5.8160 Å, b = 5.8160 Å, c = 16.4893 Å, α = 90.00°, β = 90.00° and γ = 120.00°. The inequivalent atoms are Tb at (0.0000, 0.0000, 0.0000), Ga at (0.0265, 0.5132, 0.9201) and Co at (0.0000, 0.0000, 0.5000).

The magnetization comes out at 0.08 μB per atom. For the density of states at the Fermi level, the calculation gives 0.593 states/eV/atom. For the total energy, the calculation gives -3.88 eV per atom. The formation energy from the elements is -0.1404 eV per atom.

=====

A geometry-optimized Tb2Ga5Co4 structure, computed with PBE-GGA.

It has space group Fmmm (No. 69), with a = 5.245 Å, b = 9.269 Å, c = 14.857 Å, α = 90.00°, β = 90.00° and γ = 90.00°. The inequivalent atoms are Tb at (0.000, 0.000, 0.148), Ga at (0.000, 0.000, 0.500), Ga at (0.250, 0.250, 0.000), Ga at (0.250, 0.250, 0.250) and Co at (0.000, 0.155, 0.372).

The magnetization comes out at 0.00 μB per atom. For the density of states at the Fermi level, the calculation gives 0.997 states/eV/atom. For the total energy, the calculation gives -5.16 eV per atom. The formation energy from the elements is -0.3577 eV per atom.

=====

A geometry-optimized TbGa12Co4 structure, computed with PBE-GGA.

It has space group Im-3 (No. 204), with a = 9.045 Å, b = 9.045 Å, c = 9.045 Å, α = 90.00°, β = 90.00° and γ = 90.00°. The inequivalent atoms are Tb at (0.000, 0.000, 0.000), Ga at (0.000, 0.258, 0.257) and Co at (0.250, 0.250, 0.250).

The magnetization comes out at 0.11 μB per atom. For the density of states at the Fermi level, the calculation gives 0.632 states/eV/atom. For the total energy, the calculation gives -4.24 eV per atom. The formation energy from the elements is -0.1603 eV per atom.

=====

A geometry-optimized Tb3Ga7Co2 structure, computed with PBE-GGA.

It has space group I4/mmm (No. 139), with a = 4.488 Å, b = 4.488 Å, c = 23.852 Å, α = 90.00°, β = 90.00° and γ = 90.00°. The inequivalent atoms are Tb at (0.000, 0.000, 0.000), Tb at (0.000, 0.000, 0.184), Ga at (0.000, 0.000, 0.304), Ga at (0.000, 0.000, 0.500), Ga at (0.000, 0.500, 0.093) and Co at (0.000, 0.000, 0.403).

The magnetization comes out at 0.00 μB per atom. For the density of states at the Fermi level, the calculation gives 0.657 states/eV/atom. The polymorph energy (0 for the lowest one) comes out at 0.089 eV/atom. For the total energy, the calculation gives -4.48 eV per atom. The formation energy from the elements is -0.3710 eV per atom.

=====

A geometry-optimized Tb6Ga2Co structure, computed with PBE-GGA.

It has space group P2_1/c (No. 14), with a = 5.978 Å, b = 8.330 Å, c = 10.976 Å, α = 90.00°, β = 119.71° and γ = 90.00°. The inequivalent atoms are Tb at (0.062, 0.182, 0.446), Tb at (0.328, 0.672, 0.442), Tb at (0.363, 0.030, 0.257), Ga at (0.174, 0.124, 0.753) and Co at (0.000, 0.000, 0.000).

The magnetization comes out at 0.00 μB per atom. For the density of states at the Fermi level, the calculation gives 1.045 states/eV/atom. For the total energy, the calculation gives -4.82 eV per atom. The formation energy from the elements is -0.2731 eV per atom.

=====

Question: Which value of magnetization does entry 5 give?
Answer: 0.00 μB per atom

=====

Please write out number 3 again, unchanged.
A geometry-optimized Tb2Ga5Co4 structure, computed with PBE-GGA.

It has space group Fmmm (No. 69), with a = 5.245 Å, b = 9.269 Å, c = 14.857 Å, α = 90.00°, β = 90.00° and γ = 90.00°. The inequivalent atoms are Tb at (0.000, 0.000, 0.148), Ga at (0.000, 0.000, 0.500), Ga at (0.250, 0.250, 0.000), Ga at (0.250, 0.250, 0.250) and Co at (0.000, 0.155, 0.372).

The magnetization comes out at 0.00 μB per atom. For the density of states at the Fermi level, the calculation gives 0.997 states/eV/atom. For the total energy, the calculation gives -5.16 eV per atom. The formation energy from the elements is -0.3577 eV per atom.

=====

Question: The highest magnetization belongs to which entry?
Answer: TbGa12Co4

=====

Question: What is the formation energy from the elements in the second record?
Answer: -0.1404 eV per atom